# Th2TlOs | the Alexandria database | PBE | relaxed
data_Th2TlOs
_cell_length_a 4.1427
_cell_length_b 4.1427
_cell_length_c 24.6446
_cell_angle_alpha 90.00
_cell_angle_beta 90.00
_cell_angle_gamma 120.00
_space_group_name_H-M_alt 'R 3 m'
_space_group_IT_number 160
_space_group_name_Hall 'R 3 -2"'
loop_
_atom_site_label
_atom_site_fract_x
_atom_site_fract_y
_atom_site_fract_z
Th1 0.0000 0.0000 0.0000
Th2 0.0000 0.0000 0.2095
Tl1 0.0000 0.0000 0.4378
Os1 0.0000 0.0000 0.6050
# formation energy from the elements: -226 meV/atom
# energy relative to the lowest polymorph listed for this composition: 0.10 eV per formula unit

---

# Li3Er3TiS8 | the Alexandria database | PBE | relaxed
data_Li3Er3TiS8
_cell_length_a 7.6221
_cell_length_b 7.6221
_cell_length_c 18.4289
_cell_angle_alpha 90.00
_cell_angle_beta 90.00
_cell_angle_gamma 120.00
_space_group_name_H-M_alt 'R -3 m'
_space_group_IT_number 166
_space_group_name_Hall '-R 3 2"'
loop_
_atom_site_label
_atom_site_fract_x
_atom_site_fract_y
_atom_site_fract_z
Li1 0.0000 0.5000 0.0000
Er1 0.0000 0.5000 0.5000
Ti1 0.0000 0.0000 0.5000
S1 0.0000 0.0000 0.2506
S2 0.0265 0.5132 0.2449
# formation energy (no corrections): -1.72 eV/atom

---

# KMgSc2Br | the Alexandria database | PBE | relaxed
data_KMgSc2Br
_cell_length_a 5.630
_cell_length_b 5.630
_cell_length_c 5.565
_cell_angle_alpha 90.00
_cell_angle_beta 90.00
_cell_angle_gamma 90.00
_space_group_name_H-M_alt 'P 4/m m m'
_space_group_IT_number 123
_space_group_name_Hall '-P 4 2'
loop_
_atom_site_label
_atom_site_fract_x
_atom_site_fract_y
_atom_site_fract_z
K1 0.000 0.000 0.000
Mg1 0.500 0.500 0.500
Sc1 0.000 0.500 0.000
Br1 0.000 0.000 0.500
# formation energy (no corrections): 0.98 eV/atom

---

# TmPaMnSe6 | the Alexandria database | PBE | relaxed
data_TmPaMnSe6
_cell_length_a 6.6591
_cell_length_b 6.6591
_cell_length_c 6.1967
_cell_angle_alpha 90.00
_cell_angle_beta 90.00
_cell_angle_gamma 120.00
_space_group_name_H-M_alt 'P 3 1 2'
_space_group_IT_number 149
_space_group_name_Hall 'P 3 2'
loop_
_atom_site_label
_atom_site_fract_x
_atom_site_fract_y
_atom_site_fract_z
Tm1 0.0000 0.0000 0.0000
Pa1 0.6667 0.3333 0.5000
Mn1 0.3333 0.6667 0.0000
Se1 0.0234 0.3647 0.2407
# formation energy (no corrections): -0.97 eV/atom

---

# In4TcP | the Alexandria database | PBE | relaxed
data_In4TcP
_cell_length_a 8.125
_cell_length_b 8.125
_cell_length_c 8.125
_cell_angle_alpha 90.00
_cell_angle_beta 90.00
_cell_angle_gamma 90.00
_space_group_name_H-M_alt 'F -4 3 m'
_space_group_IT_number 216
_space_group_name_Hall 'F -4 2 3'
loop_
_atom_site_label
_atom_site_fract_x
_atom_site_fract_y
_atom_site_fract_z
In1 0.125 0.125 0.125
Tc1 0.000 0.000 0.500
P1 0.250 0.250 0.750
# formation energy from the elements: 886 meV/atom

---

# NiMoW2 | the Alexandria database | PBE | relaxed
data_NiMoW2
_cell_length_a 2.7414
_cell_length_b 2.7414
_cell_length_c 27.9607
_cell_angle_alpha 90.00
_cell_angle_beta 90.00
_cell_angle_gamma 120.00
_space_group_name_H-M_alt 'R 3 m'
_space_group_IT_number 160
_space_group_name_Hall 'R 3 -2"'
loop_
_atom_site_label
_atom_site_fract_x
_atom_site_fract_y
_atom_site_fract_z
Ni1 0.0000 0.0000 0.0000
Mo1 0.0000 0.0000 0.7440
W1 0.0000 0.0000 0.2560
W2 0.0000 0.0000 0.4999
# formation energy from the elements: 336 meV/atom
# energy relative to the lowest polymorph listed for this composition: 1.10 eV per formula unit

---

Copy entry 4 word for word.
# TmPaMnSe6 | the Alexandria database | PBE | relaxed
data_TmPaMnSe6
_cell_length_a 6.6591
_cell_length_b 6.6591
_cell_length_c 6.1967
_cell_angle_alpha 90.00
_cell_angle_beta 90.00
_cell_angle_gamma 120.00
_space_group_name_H-M_alt 'P 3 1 2'
_space_group_IT_number 149
_space_group_name_Hall 'P 3 2'
loop_
_atom_site_label
_atom_site_fract_x
_atom_site_fract_y
_atom_site_fract_z
Tm1 0.0000 0.0000 0.0000
Pa1 0.6667 0.3333 0.5000
Mn1 0.3333 0.6667 0.0000
Se1 0.0234 0.3647 0.2407
# formation energy (no corrections): -0.97 eV/atom